Record 1
Here is crystalline MnPF2 at its relaxed geometry from Alexandria. Energies are from GGA+U.

For the volume, the calculation gives 208 Å³/cell. Its energy above the lowest structure with this stoichiometry is 23.7 kJ/mol of atoms. The magnetization is 2.99 Bohr magnetons per cell.

Lattice parameters (Å, degrees): 2.910 2.910 28.404 90.00 90.00 120.00
Sites, in units of the cell vectors:
1 Mn 0.000 0.000 0.000
2 Mn 0.333 0.667 0.667
3 Mn 0.667 0.333 0.333
4 P 0.000 0.000 0.500
5 P 0.333 0.667 0.167
6 P 0.667 0.333 0.833
7 F 0.000 0.000 0.374
8 F 0.000 0.000 0.626
9 F 0.333 0.667 0.040
10 F 0.333 0.667 0.293
11 F 0.667 0.333 0.707
12 F 0.667 0.333 0.960

---

Record 2
Here is crystalline MnP3F at its relaxed geometry from Alexandria. Energies are from GGA+U.

For the volume, the calculation gives 83 Å³/cell. Its energy above the lowest structure with this stoichiometry is 0.0 kJ/mol of atoms. The magnetization is 4.49 Bohr magnetons per cell.

Lattice parameters (Å, degrees): 4.370 4.370 4.370 90.00 90.00 90.00
Sites, in units of the cell vectors:
1 Mn 0.000 0.000 0.000
2 P 0.000 0.500 0.500
3 P 0.500 0.000 0.500
4 P 0.500 0.500 0.000
5 F 0.500 0.500 0.500

---

Record 3
Here is crystalline MnP3F at its relaxed geometry from Alexandria. Energies are from GGA+U.

For the volume, the calculation gives 87 Å³/cell. Its energy above the lowest structure with this stoichiometry is 1.3 kJ/mol of atoms. The magnetization is 2.90 Bohr magnetons per cell.

Lattice parameters (Å, degrees): 4.432 4.432 4.432 90.00 90.00 90.00
Sites, in units of the cell vectors:
1 Mn 0.000 0.000 0.000
2 P 0.000 0.000 0.500
3 P 0.000 0.500 0.000
4 P 0.500 0.000 0.000
5 F 0.500 0.500 0.500

---

Record 4
Here is crystalline MnPF2 at its relaxed geometry from Alexandria. Energies are from GGA+U.

For the volume, the calculation gives 299 Å³/cell. Its energy above the lowest structure with this stoichiometry is 0.0 kJ/mol of atoms. The magnetization is 19.88 Bohr magnetons per cell.

Lattice parameters (Å, degrees): 6.210 6.210 7.747 90.00 90.00 90.00
Sites, in units of the cell vectors:
1 Mn 0.000 0.000 0.000
2 Mn 0.000 0.500 0.250
3 Mn 0.500 0.000 0.750
4 Mn 0.500 0.500 0.500
5 P 0.000 0.000 0.500
6 P 0.000 0.500 0.750
7 P 0.500 0.000 0.250
8 P 0.500 0.500 0.000
9 F 0.129 0.250 0.125
10 F 0.250 0.629 0.375
11 F 0.250 0.871 0.875
12 F 0.371 0.250 0.625
13 F 0.629 0.750 0.625
14 F 0.750 0.129 0.875
15 F 0.750 0.371 0.375
16 F 0.871 0.750 0.125

---

Record 5
Here is crystalline MnPPd2F at its relaxed geometry from Alexandria. Energies are from GGA+U.

For the volume, the calculation gives 83 Å³/cell. The magnetization is 4.92 Bohr magnetons per cell. The final energy comes out at -5.4914 eV per atom.

Lattice parameters (Å, degrees): 4.615 4.615 3.917 90.00 90.00 90.00
Sites, in units of the cell vectors:
1 Mn 0.000 0.000 0.000
2 P 0.500 0.500 0.500
3 Pd 0.000 0.500 0.500
4 Pd 0.500 0.000 0.500
5 F 0.500 0.500 0.000

---

Record 6
Here is crystalline MnRePF2 at its relaxed geometry from Alexandria. Energies are from GGA+U.

For the volume, the calculation gives 82 Å³/cell. The magnetization is 5.06 Bohr magnetons per cell. The final energy comes out at -6.3806 eV per atom.

Lattice parameters (Å, degrees): 3.643 3.643 6.157 90.00 90.00 90.00
Sites, in units of the cell vectors:
1 Mn 0.000 0.000 0.000
2 Re 0.000 0.000 0.500
3 P 0.500 0.500 0.500
4 F 0.000 0.500 0.000
5 F 0.500 0.000 0.000

---

Record 7
Here is crystalline MnReP2F at its relaxed geometry from Alexandria. Energies are from GGA+U.

For the volume, the calculation gives 80 Å³/cell. The magnetization is 6.13 Bohr magnetons per cell. The final energy comes out at -6.0630 eV per atom.

Lattice parameters (Å, degrees): 4.700 4.700 3.640 90.00 90.00 90.00
Sites, in units of the cell vectors:
1 Mn 0.000 0.000 0.000
2 Re 0.500 0.500 0.500
3 P 0.000 0.500 0.000
4 P 0.500 0.000 0.000
5 F 0.000 0.000 0.500

---

Record 8
Here is crystalline MnP2SF at its relaxed geometry from Alexandria. Energies are from GGA+U.

For the volume, the calculation gives 82 Å³/cell. Its energy above the lowest structure with this stoichiometry is 28.7 kJ/mol of atoms. The magnetization is 1.04 Bohr magnetons per cell.

Lattice parameters (Å, degrees): 4.370 4.370 4.319 90.00 90.00 90.00
Sites, in units of the cell vectors:
1 Mn 0.000 0.000 0.000
2 P 0.000 0.500 0.000
3 P 0.500 0.000 0.000
4 S 0.000 0.000 0.500
5 F 0.500 0.500 0.500

---

Record 9
Here is crystalline MnP2SF at its relaxed geometry from Alexandria. Energies are from GGA+U.

For the volume, the calculation gives 90 Å³/cell. Its energy above the lowest structure with this stoichiometry is 0.0 kJ/mol of atoms. The magnetization is 4.28 Bohr magnetons per cell.

Lattice parameters (Å, degrees): 4.020 4.020 5.553 90.00 90.00 90.00
Sites, in units of the cell vectors:
1 Mn 0.000 0.000 0.000
2 P 0.000 0.500 0.500
3 P 0.500 0.000 0.500
4 S 0.500 0.500 0.000
5 F 0.500 0.500 0.500

---

Record 10
Here is crystalline MnPS2F at its relaxed geometry from Alexandria. Energies are from GGA+U.

For the volume, the calculation gives 96 Å³/cell. Its energy above the lowest structure with this stoichiometry is 0.0 kJ/mol of atoms. The magnetization is 2.94 Bohr magnetons per cell.

Lattice parameters (Å, degrees): 4.512 4.512 4.731 90.00 90.00 90.00
Sites, in units of the cell vectors:
1 Mn 0.000 0.000 0.000
2 P 0.000 0.000 0.500
3 S 0.000 0.500 0.000
4 S 0.500 0.000 0.000
5 F 0.500 0.500 0.500

---

Record 11
Here is crystalline MnPS2F at its relaxed geometry from Alexandria. Energies are from GGA+U.

For the volume, the calculation gives 84 Å³/cell. Its energy above the lowest structure with this stoichiometry is 96.3 kJ/mol of atoms. The magnetization is 0.67 Bohr magnetons per cell.

Lattice parameters (Å, degrees): 4.827 4.827 3.605 90.00 90.00 90.00
Sites, in units of the cell vectors:
1 Mn 0.000 0.000 0.000
2 P 0.500 0.500 0.000
3 S 0.000 0.500 0.500
4 S 0.500 0.000 0.500
5 F 0.500 0.500 0.500

---

Record 12
Here is crystalline Sc2MnPF at its relaxed geometry from Alexandria. Energies are from GGA+U.

For the volume, the calculation gives 92 Å³/cell. The magnetization is 4.54 Bohr magnetons per cell. The final energy comes out at -6.2297 eV per atom.

Lattice parameters (Å, degrees): 4.169 4.169 5.280 90.00 90.00 90.00
Sites, in units of the cell vectors:
1 Sc 0.000 0.500 0.000
2 Sc 0.500 0.000 0.000
3 Mn 0.000 0.000 0.500
4 P 0.500 0.500 0.500
5 F 0.500 0.500 0.000